BeTl | GGA-PBE | optimized geometry

```
data_BeTl
_cell_length_a 13.0160
_cell_length_b 3.1291
_cell_length_c 4.1046
_cell_angle_alpha 90.00
_cell_angle_beta 106.80
_cell_angle_gamma 90.00
_space_group_name_H-M_alt 'C 1 2/m 1'
_space_group_IT_number 12
_space_group_name_Hall '-C 2y'
loop_
_atom_site_label
_atom_site_fract_x
_atom_site_fract_y
_atom_site_fract_z
Be1 0.1877 0.0000 0.4490
Tl1 0.1144 0.5000 0.8787
```

Output
Formation energy from the elements   0.6432 eV per atom
E_tot   -19.224 eV per cell
Calculated density   8.9 g/cm³
Magnetization   0.00 μB per formula unit
Energy above the most stable polymorph in this dataset   205 meV per atom

---

BeTl2 | GGA-PBE | optimized geometry

```
data_BeTl2
_cell_length_a 3.2867
_cell_length_b 3.2867
_cell_length_c 26.2958
_cell_angle_alpha 90.00
_cell_angle_beta 90.00
_cell_angle_gamma 90.00
_space_group_name_H-M_alt 'I 41/a m d'
_space_group_IT_number 141
loop_
_space_group_symop_operation_xyz
'x,y,z'
'-x,-y,-z'
'-y+1/4,x+3/4,z+1/4'
'y+1/4,-x+3/4,-z+1/4'
'-x+1/2,-y,z+1/2'
'x+1/2,y,-z+1/2'
'y+1/4,-x+1/4,z+3/4'
'-y+1/4,x+1/4,-z+3/4'
'x,-y,-z'
'-x,y,z'
'-y+1/4,-x+1/4,-z+3/4'
'y+1/4,x+1/4,z+3/4'
'-x+1/2,y,-z+1/2'
'x+1/2,-y,z+1/2'
'y+1/4,x+3/4,-z+1/4'
'-y+1/4,-x+3/4,z+1/4'
'x+1/2,y+1/2,z+1/2'
'-x+1/2,-y+1/2,-z+1/2'
'-y+3/4,x+1/4,z+3/4'
'y+3/4,-x+1/4,-z+3/4'
'-x,-y+1/2,z'
'x,y+1/2,-z'
'y+3/4,-x+3/4,z+1/4'
'-y+3/4,x+3/4,-z+1/4'
'x+1/2,-y+1/2,-z+1/2'
'-x+1/2,y+1/2,z+1/2'
'-y+3/4,-x+3/4,-z+1/4'
'y+3/4,x+3/4,z+1/4'
'-x,y+1/2,-z'
'x,-y+1/2,z'
'y+3/4,x+1/4,-z+3/4'
'-y+3/4,-x+1/4,z+3/4'
loop_
_atom_site_label
_atom_site_fract_x
_atom_site_fract_y
_atom_site_fract_z
Be1 0.0000 0.2500 0.3750
Tl1 0.0000 0.2500 0.8077
```

Output
Formation energy from the elements   0.5528 eV per atom
E_tot   -27.202 eV per cell
Calculated density   9.8 g/cm³
Magnetization   0.00 μB per formula unit
Energy above the most stable polymorph in this dataset   140 meV per atom

---

BeTl | GGA-PBE | optimized geometry

```
data_BeTl
_cell_length_a 3.9060
_cell_length_b 3.9060
_cell_length_c 17.9830
_cell_angle_alpha 90.00
_cell_angle_beta 90.00
_cell_angle_gamma 120.00
_space_group_name_H-M_alt 'R -3 m'
_space_group_IT_number 166
_space_group_name_Hall '-R 3 2"'
loop_
_atom_site_label
_atom_site_fract_x
_atom_site_fract_y
_atom_site_fract_z
Be1 0.0000 0.0000 0.1663
Tl1 0.0000 0.0000 0.4059
```

Output
Formation energy from the elements   0.5066 eV per atom
E_tot   -30.475 eV per cell
Calculated density   8.9 g/cm³
Magnetization   0.00 μB per formula unit
Energy above the most stable polymorph in this dataset   69 meV per atom